A plane-wave DFT calculation with GGA-PBE was carried out for a geometry-optimized Pm6AsO12 structure.

It has space group R-3 (No. 148, hexagonal axes), with a = 10.0398 Å, b = 10.0398 Å, c = 9.6051 Å, α = 90.00°, β = 90.00° and γ = 120.00°. Symmetry generates all atoms from Pm at (0.0523, 0.7917, 0.1510), As at (0.0000, 0.0000, 0.5000), O at (0.0394, 0.8118, 0.9048) and O at (0.0425, 0.8636, 0.3938).

As for the uncorrected formation energy: -2.9258 eV/atom. As for the calculated total energy: -0.2867 Ha/atom.



A plane-wave DFT calculation with GGA-PBE was carried out for a geometry-optimized Pm3AsO7 structure.

It has space group C222_1 (No. 20), with a = 7.580 Å, b = 10.663 Å, c = 7.539 Å, α = 90.00°, β = 90.00° and γ = 90.00°. Symmetry generates all atoms from Pm at (0.025, 0.000, 0.000), Pm at (0.233, 0.269, 0.755), As at (0.001, 0.500, 0.000), O at (0.000, 0.130, 0.250), O at (0.000, 0.135, 0.750), O at (0.000, 0.443, 0.750), O at (0.172, 0.379, 0.032) and O at (0.186, 0.382, 0.475).

As for the uncorrected formation energy: -2.7823 eV/atom. As for the calculated total energy: -0.2813 Ha/atom.



A plane-wave DFT calculation with GGA-PBE was carried out for a geometry-optimized PmAsO3 structure.

It has space group R-3 (No. 148, hexagonal axes), with a = 14.2682 Å, b = 14.2682 Å, c = 8.8305 Å, α = 90.00°, β = 90.00° and γ = 120.00°. Symmetry generates all atoms from Pm at (0.0470, 0.2754, 0.0856), As at (0.0145, 0.1620, 0.6934), O at (0.0115, 0.7339, 0.3768), O at (0.0402, 0.8488, 0.1178) and O at (0.0859, 0.8410, 0.7340).

As for the uncorrected formation energy: -2.3929 eV/atom. As for the calculated total energy: -0.2664 Ha/atom.



A plane-wave DFT calculation with GGA-PBE was carried out for a geometry-optimized Pm3As2O2 structure.

It has space group C2/m (No. 12), with a = 12.407 Å, b = 4.050 Å, c = 6.994 Å, α = 90.00°, β = 111.38° and γ = 90.00°. Symmetry generates all atoms from Pm at (0.000, 0.000, 0.000), Pm at (0.186, 0.500, 0.767), As at (0.118, 0.500, 0.308) and O at (0.162, 0.000, 0.903).

As for the uncorrected formation energy: -2.1689 eV/atom. As for the calculated total energy: -0.2554 Ha/atom.



A plane-wave DFT calculation with GGA-PBE was carried out for a geometry-optimized Pm3As2O structure.

It has space group C2/c (No. 15), with a = 12.639 Å, b = 5.917 Å, c = 8.026 Å, α = 90.00°, β = 108.36° and γ = 90.00°. Symmetry generates all atoms from Pm at (0.000, 0.054, 0.250), Pm at (0.151, 0.498, 0.577), As at (0.173, 0.001, 0.086) and O at (0.000, 0.445, 0.250).

As for the uncorrected formation energy: -1.8229 eV/atom. As for the calculated total energy: -0.2416 Ha/atom.



A plane-wave DFT calculation with GGA-PBE was carried out for a geometry-optimized Pm2AsO5 structure.

It has space group P2_1/c (No. 14), with a = 9.805 Å, b = 7.184 Å, c = 6.828 Å, α = 90.00°, β = 103.71° and γ = 90.00°. Symmetry generates all atoms from Pm at (0.033, 0.121, 0.242), Pm at (0.368, 0.130, 0.062), As at (0.297, 0.597, 0.060), O at (0.096, 0.642, 0.968), O at (0.121, 0.110, 0.943), O at (0.286, 0.079, 0.361), O at (0.383, 0.717, 0.475) and O at (0.420, 0.068, 0.739).

The energy above the most stable polymorph in this dataset is 0.0000 eV per atom. As for the uncorrected formation energy: -2.5559 eV/atom. As for the calculated total energy: -0.2728 Ha/atom.



A plane-wave DFT calculation with GGA-PBE was carried out for a geometry-optimized Pm3AsO6 structure.

It has space group Cmc2_1 (No. 36), with a = 9.136 Å, b = 11.460 Å, c = 6.056 Å, α = 90.00°, β = 90.00° and γ = 90.00°. Symmetry generates all atoms from Pm at (0.000, 0.097, 0.000), Pm at (0.196, 0.392, 0.037), As at (0.000, 0.326, 0.589), O at (0.000, 0.280, 0.130), O at (0.000, 0.460, 0.764), O at (0.151, 0.247, 0.719) and O at (0.163, 0.012, 0.266).

As for the uncorrected formation energy: -2.8710 eV/atom. As for the calculated total energy: -0.2843 Ha/atom.



A plane-wave DFT calculation with GGA-PBE was carried out for a geometry-optimized Pm2AsO6 structure.

It has space group P2_1/c (No. 14), with a = 5.455 Å, b = 6.099 Å, c = 8.746 Å, α = 90.00°, β = 121.90° and γ = 90.00°. Symmetry generates all atoms from Pm at (0.208, 0.090, 0.249), As at (0.500, 0.000, 0.000), O at (0.170, 0.150, 0.952), O at (0.292, 0.735, 0.933) and O at (0.400, 0.049, 0.769).

As for the uncorrected formation energy: -2.3796 eV/atom. As for the calculated total energy: -0.2667 Ha/atom.



A plane-wave DFT calculation with GGA-PBE was carried out for a geometry-optimized Pm2AsO structure.

It has space group R-3m (No. 166, hexagonal axes), with a = 4.3987 Å, b = 4.3987 Å, c = 22.0726 Å, α = 90.00°, β = 90.00° and γ = 120.00°. Symmetry generates all atoms from Pm at (0.0000, 0.0000, 0.0956), As at (0.0000, 0.0000, 0.5000) and O at (0.0000, 0.0000, 0.0000).

The energy above the most stable polymorph in this dataset is 0.1996 eV per atom. As for the uncorrected formation energy: -1.7889 eV/atom. As for the calculated total energy: -0.2413 Ha/atom.



A plane-wave DFT calculation with GGA-PBE was carried out for a geometry-optimized PmPrAs2O8 structure.

It has space group I-4 (No. 82), with a = 5.172 Å, b = 5.172 Å, c = 11.745 Å, α = 90.00°, β = 90.00° and γ = 90.00°. Symmetry generates all atoms from Pm at (0.000, 0.000, 0.000), Pr at (0.000, 0.500, 0.250), As at (0.000, 0.000, 0.500), As at (0.000, 0.500, 0.750), O at (0.136, 0.748, 0.828) and O at (0.141, 0.248, 0.423).

As for the uncorrected formation energy: -2.3184 eV/atom. As for the calculated total energy: -0.2643 Ha/atom.



A plane-wave DFT calculation with GGA-PBE was carried out for a geometry-optimized PmPrAsO2 structure.

It has space group I4mm (No. 107), with a = 3.936 Å, b = 3.936 Å, c = 13.344 Å, α = 90.00°, β = 90.00° and γ = 90.00°. Symmetry generates all atoms from Pm at (0.000, 0.000, 0.000), Pr at (0.000, 0.000, 0.684), As at (0.000, 0.000, 0.342) and O at (0.000, 0.500, 0.089).

As for the uncorrected formation energy: -2.5539 eV/atom. As for the calculated total energy: -0.2710 Ha/atom.



A plane-wave DFT calculation with GGA-PBE was carried out for a geometry-optimized PmAs2PtO8 structure.

It has space group P-3m1 (No. 164), with a = 5.4804 Å, b = 5.4804 Å, c = 6.9324 Å, α = 90.00°, β = 90.00° and γ = 120.00°. Symmetry generates all atoms from Pm at (0.0000, 0.0000, 0.0000), As at (0.3333, 0.6667, 0.2215), Pt at (0.0000, 0.0000, 0.5000), O at (0.1567, 0.3134, 0.2860) and O at (0.3333, 0.6667, 0.9771).

As for the uncorrected formation energy: -1.3434 eV/atom. As for the calculated total energy: -0.2324 Ha/atom.



A plane-wave DFT calculation with GGA-PBE was carried out for a geometry-optimized PmPuAsO2 structure.

It has space group I4mm (No. 107), with a = 3.851 Å, b = 3.851 Å, c = 12.527 Å, α = 90.00°, β = 90.00° and γ = 90.00°. Symmetry generates all atoms from Pm at (0.000, 0.000, 0.000), Pu at (0.000, 0.000, 0.699), As at (0.000, 0.000, 0.346) and O at (0.000, 0.500, 0.104).

As for the uncorrected formation energy: -2.4443 eV/atom. As for the calculated total energy: -0.3371 Ha/atom.



A plane-wave DFT calculation with GGA-PBE was carried out for a geometry-optimized RbPmAs2O6 structure.

It has space group R-3 (No. 148, hexagonal axes), with a = 5.9493 Å, b = 5.9493 Å, c = 18.6751 Å, α = 90.00°, β = 90.00° and γ = 120.00°. Symmetry generates all atoms from Rb at (0.0000, 0.0000, 0.0000), Pm at (0.0000, 0.0000, 0.5000), As at (0.0000, 0.0000, 0.2662) and O at (0.0293, 0.4263, 0.9047).

As for the uncorrected formation energy: -1.7564 eV/atom. As for the calculated total energy: -0.2291 Ha/atom.



A plane-wave DFT calculation with GGA-PBE was carried out for a geometry-optimized RbPmAsO4 structure.

It has space group F-43m (No. 216), with a = 9.252 Å, b = 9.252 Å, c = 9.252 Å, α = 90.00°, β = 90.00° and γ = 90.00°. Symmetry generates all atoms from Rb at (0.000, 0.000, 0.000), Pm at (0.250, 0.250, 0.250), As at (0.000, 0.000, 0.500) and O at (0.113, 0.113, 0.387).

As for the uncorrected formation energy: -1.8170 eV/atom. As for the calculated total energy: -0.2253 Ha/atom.



A plane-wave DFT calculation with GGA-PBE was carried out for a geometry-optimized Rb2PmAsO6 structure.

It has space group P-3m1 (No. 164), with a = 6.5415 Å, b = 6.5415 Å, c = 5.9280 Å, α = 90.00°, β = 90.00° and γ = 120.00°. Symmetry generates all atoms from Rb at (0.3333, 0.6667, 0.1038), Pm at (0.0000, 0.0000, 0.5000), As at (0.0000, 0.0000, 0.0000) and O at (0.1315, 0.2629, 0.8109).

As for the uncorrected formation energy: -1.5679 eV/atom. As for the calculated total energy: -0.2086 Ha/atom.



A plane-wave DFT calculation with GGA-PBE was carried out for a geometry-optimized Rb3Pm3AsO8 structure.

It has space group R-3m (No. 166, hexagonal axes), with a = 7.0026 Å, b = 7.0026 Å, c = 19.9422 Å, α = 90.00°, β = 90.00° and γ = 120.00°. Symmetry generates all atoms from Rb at (0.0000, 0.5000, 0.0000), Pm at (0.0000, 0.5000, 0.5000), As at (0.0000, 0.0000, 0.5000), O at (0.0000, 0.0000, 0.2259) and O at (0.0424, 0.5212, 0.2210).

As for the uncorrected formation energy: -2.2587 eV/atom. As for the calculated total energy: -0.2336 Ha/atom.



A plane-wave DFT calculation with GGA-PBE was carried out for a geometry-optimized PmScAsO2 structure.

It has space group Cmcm (No. 63), with a = 5.326 Å, b = 12.750 Å, c = 5.284 Å, α = 90.00°, β = 90.00° and γ = 90.00°. Symmetry generates all atoms from Pm at (0.000, 0.102, 0.250), Sc at (0.000, 0.427, 0.250), As at (0.000, 0.250, 0.750) and O at (0.240, 0.500, 0.000).

As for the uncorrected formation energy: -2.5713 eV/atom. As for the calculated total energy: -0.2830 Ha/atom.



A plane-wave DFT calculation with GGA-PBE was carried out for a geometry-optimized PmSc3As4O12 structure.

It has space group R32 (No. 155, hexagonal axes), with a = 10.9394 Å, b = 10.9394 Å, c = 7.8921 Å, α = 90.00°, β = 90.00° and γ = 120.00°. Symmetry generates all atoms from Pm at (0.0000, 0.0000, 0.0000), Sc at (0.0000, 0.5751, 0.0000), As at (0.0000, 0.0000, 0.5000), As at (0.0000, 0.3994, 0.5000), O at (0.0000, 0.5631, 0.5000), O at (0.0000, 0.8244, 0.5000) and O at (0.0522, 0.1891, 0.1984).

As for the uncorrected formation energy: -2.0570 eV/atom. As for the calculated total energy: -0.2627 Ha/atom.